{
  "formula": "PmGa3Ag3",
  "functional": "GGA-PBE",
  "state": "optimized geometry",
  "e_form_ev_per_atom": -0.2560,
  "polymorph_energy_mev_per_atom": 0,
  "m_tot_mub_per_cell": 0.0,
  "lattice_angstrom": [[6.5843, 0.0000, 0.0000], [0.0000, 4.3450, 0.0000], [-2.1350, 0.0000, 9.6506]],
  "species": ["Pm", "Pm", "Ga", "Ga", "Ga", "Ga", "Ga", "Ga", "Ag", "Ag", "Ag", "Ag", "Ag", "Ag"],
  "fractional_positions": [[0.2372, 0.2500, 0.3991], [0.7628, 0.7500, 0.6009], [0.0861, 0.7500, 0.1127], [0.0882, 0.2500, 0.6760], [0.2984, 0.7500, 0.6197], [0.7016, 0.2500, 0.3803], [0.9118, 0.7500, 0.3240], [0.9139, 0.2500, 0.8873], [0.1882, 0.7500, 0.8659], [0.3483, 0.2500, 0.0495], [0.4941, 0.7500, 0.2335], [0.5059, 0.2500, 0.7665], [0.6517, 0.7500, 0.9505], [0.8118, 0.2500, 0.1341]]
}